ZnGaNi2O4: relaxed, GGA+U.

POSCAR file:
```
ZnGaNi2O4
1.0
2.9171 0.0000 0.0000
0.0000 5.9189 -0.2474
0.0000 -2.3897 4.8153
O Ga Zn Ni
4 1 1 2
direct
0.5000 0.2799 0.1912 O
0.0000 0.2900 0.7213 O
0.5000 0.7201 0.8088 O
0.0000 0.7100 0.2787 O
0.5000 0.5000 0.0000 Ga
0.0000 0.0000 0.0000 Zn
0.0000 0.5000 0.5000 Ni
0.5000 0.0000 0.5000 Ni
```

Space group = P2/m (10)
ρ = 6.5 g cm⁻³
Fermi-level density of states = 0.43 states/eV/cell
Electronic total energy = -38.42 eV for the cell shown